Material: RbBPt
Method: DFT, PBE
State: relaxed

M_tot: 0.000 μB per atom
Distance to the lowest polymorph of the same formula: 809 meV per atom
Total DFT energy (no corrections): -0.1728 Ry/atom

```
data_RbBPt
_chemical_formula_sum 'Rb4 B4 Pt4'
_symmetry_space_group_name_H-M 'F -4 3 m'
_symmetry_Int_Tables_number 216
_symmetry_space_group_name_Hall 'F -4 2 3'
_cell_length_a 6.957
_cell_length_b 6.957
_cell_length_c 6.957
_cell_angle_alpha 90.00
_cell_angle_beta 90.00
_cell_angle_gamma 90.00
loop_
_atom_site_label
_atom_site_type_symbol
_atom_site_fract_x
_atom_site_fract_y
_atom_site_fract_z
_atom_site_occupancy
Rb1 Rb 0.000 0.000 0.000 1
B1 B 0.250 0.250 0.750 1
Pt1 Pt 0.250 0.250 0.250 1
```

---

Material: RbB4Pt
Method: DFT, PBE
State: relaxed

M_tot: 0.000 μB per atom
Distance to the lowest polymorph of the same formula: 204 meV per atom
Total DFT energy (no corrections): -0.3680 Ry/atom

```
data_RbB4Pt
_chemical_formula_sum 'Rb2 B8 Pt2'
_symmetry_space_group_name_H-M 'I m m m'
_symmetry_Int_Tables_number 71
_symmetry_space_group_name_Hall '-I 2 2'
_cell_length_a 2.688
_cell_length_b 5.831
_cell_length_c 9.198
_cell_angle_alpha 90.00
_cell_angle_beta 90.00
_cell_angle_gamma 90.00
loop_
_atom_site_label
_atom_site_type_symbol
_atom_site_fract_x
_atom_site_fract_y
_atom_site_fract_z
_atom_site_occupancy
Rb1 Rb 0.000 0.000 0.000 1
B1 B 0.000 0.356 0.227 1
Pt1 Pt 0.000 0.000 0.500 1
```

---

Material: ReB4Pt
Method: DFT, PBE
State: relaxed

M_tot: 0.001 μB per atom
Distance to the lowest polymorph of the same formula: 0 meV per atom
Total DFT energy (no corrections): -0.5271 Ry/atom

```
data_ReB4Pt
_chemical_formula_sum 'Re1 B4 Pt1'
_symmetry_space_group_name_H-M 'P 6/m m m'
_symmetry_Int_Tables_number 191
_symmetry_space_group_name_Hall '-P 6 2'
_cell_length_a 2.9743
_cell_length_b 2.9743
_cell_length_c 7.3089
_cell_angle_alpha 90.00
_cell_angle_beta 90.00
_cell_angle_gamma 120.00
loop_
_atom_site_label
_atom_site_type_symbol
_atom_site_fract_x
_atom_site_fract_y
_atom_site_fract_z
_atom_site_occupancy
Re1 Re 0.0000 0.0000 0.0000 1
B1 B 0.3333 0.6667 0.2310 1
Pt1 Pt 0.0000 0.0000 0.5000 1
```